(1)
Compound: CsNaO2F
Source: Alexandria
Functional: PBE-GGA
Structure: optimized geometry

Summary:
density of states at the Fermi level	2.55	states/eV per cell
ΔE_f (raw)	-2.39	eV per formula unit
calculated density	3.33	g/cm³
DFT total energy	-16.35	eV per formula unit

abc: 4.3595 4.3595 5.4308
angles: 90.00 90.00 90.00
Fractional coordinates of all 5 atoms:
Cs 0.0000 0.0000 0.0000
Na 0.5000 0.5000 0.5000
O 0.0000 0.5000 0.0000
O 0.5000 0.0000 0.0000
F 0.0000 0.0000 0.5000


(2)
Compound: LaTbPr3Nd
Source: Alexandria
Functional: PBE-GGA
Structure: optimized geometry

Summary:
density of states at the Fermi level	19.65	states/eV per cell
ΔH_f (0 K)	0.10	eV per formula unit
calculated density	6.72	g/cm³
DFT total energy	-28.57	eV per formula unit

abc: 5.2412 8.2300 11.0570
angles: 116.43 90.00 90.00
Fractional coordinates of all 12 atoms:
La 0.7500 0.8774 0.7091
La 0.2500 0.1226 0.2909
Tb 0.2500 0.6215 0.1233
Tb 0.7500 0.3785 0.8767
Pr 0.2500 0.6254 0.4564
Pr 0.7500 0.8701 0.0413
Pr 0.7500 0.3770 0.2066
Pr 0.7500 0.3746 0.5436
Pr 0.2500 0.6230 0.7934
Pr 0.2500 0.1299 0.9587
Nd 0.2500 0.1270 0.6269
Nd 0.7500 0.8730 0.3731


(3)
Compound: CdAgOs2
Source: Alexandria
Functional: PBE-GGA
Structure: optimized geometry

Summary:
density of states at the Fermi level	5.60	states/eV per cell
ΔH_f (0 K)	3.50	eV per formula unit
calculated density	15.04	g/cm³
DFT total energy	-22.73	eV per formula unit

abc: 5.3337 5.3337 5.3337
angles: 138.35 138.35 60.37
Fractional coordinates of all 4 atoms:
Os 0.0000 0.0000 0.0000
Os 0.5000 0.5000 0.0000
Ag 0.2500 0.7500 0.5000
Cd 0.7500 0.2500 0.5000


(4)
Compound: K2PW
Source: Alexandria
Functional: PBE-GGA
Structure: optimized geometry

Summary:
density of states at the Fermi level	2.56	states/eV per cell
ΔH_f (0 K)	4.11	eV per formula unit
calculated density	5.50	g/cm³
energy relative to the lowest polymorph listed for this composition	2.70	eV per formula unit
DFT total energy	-16.45	eV per formula unit

abc: 5.7963 3.0436 5.4940
angles: 65.93 90.00 90.00
Fractional coordinates of all 4 atoms:
K 0.0000 0.1427 0.0126
K 0.0000 0.3573 0.4874
P 0.5000 0.2500 0.2500
W 0.5000 0.7500 0.7500